First-principles (PBE+U) data for crystalline Li8Mn5Fe3B8O24 at its relaxed geometry, as listed in Alexandria via LeMat-Bulk.

N(E_F)	0.0	states/eV per cell
final energy	-7.094	eV per atom
magnetic moment	0.19	μB per atom

Cell lengths 5.2491, 5.9365, 16.2003 Å; angles 81.22, 89.08, 88.80 degrees
Closest atoms and distances in Å follow each position.
Space group P1 (No. 1)
Symmetry-distinct sites (fractional):
Li: 0.0000 0.0000 0.0000 x1  4 O 1.93-2.06
Li: 0.0008 0.4918 0.5014 x1  4 O 1.93-2.06
Li: 0.1863 0.8814 0.5269 x1  4 O 1.95-2.04
Li: 0.1896 0.3847 0.0278 x1  4 O 1.93-2.04
Li: 0.5024 0.2473 0.2491 x1  4 O 1.94-2.05
Li: 0.5035 0.7550 0.7465 x1  4 O 1.93-2.04
Li: 0.6882 0.1442 0.7732 x1  4 O 1.95-2.06
Li: 0.6903 0.6307 0.2762 x1  4 O 1.95-2.05
Mn: 0.0187 0.0941 0.1798 x1  4 O 2.09-2.20
Mn: 0.0243 0.6097 0.6778 x1  5 O 2.10-2.21
Mn: 0.1699 0.2916 0.8472 x1  5 O 2.10-2.32
Mn: 0.5188 0.8507 0.9273 x1  5 O 2.10-2.35
Mn: 0.5199 0.3398 0.4294 x1  4 O 2.09-2.18
Fe: 0.1804 0.7818 0.3491 x1  4 O 2.01-2.18
Fe: 0.6653 0.0300 0.5973 x1  5 O 2.07-2.20
Fe: 0.6803 0.5348 0.0969 x1  4 O 2.02-2.17
B: 0.0188 0.7876 0.8396 x1  3 O 1.38-1.40
B: 0.0210 0.2762 0.3422 x1  3 O 1.38-1.40
B: 0.1664 0.1083 0.6833 x1  3 O 1.38-1.40
B: 0.1734 0.6021 0.1861 x1  3 O 1.38-1.40
B: 0.5194 0.0288 0.0914 x1  3 O 1.38-1.40
B: 0.5217 0.5286 0.5905 x1  3 O 1.38-1.41
B: 0.6717 0.3558 0.9358 x1  3 O 1.38-1.40
B: 0.6722 0.8482 0.4354 x1  3 O 1.37-1.40
O: 0.0208 0.2531 0.7272 x1  1 B 1.40
O: 0.0267 0.7323 0.2352 x1  1 B 1.40
O: 0.0439 0.9779 0.6310 x1  1 B 1.40
O: 0.0495 0.4894 0.1287 x1  1 B 1.40
O: 0.1331 0.9063 0.8965 x1  1 B 1.39
O: 0.1344 0.3926 0.3999 x1  1 B 1.39
O: 0.1719 0.6522 0.7943 x1  1 B 1.40
O: 0.1731 0.1420 0.2961 x1  1 B 1.40
O: 0.2600 0.0526 0.0777 x1  1 B 1.38
O: 0.2637 0.5515 0.5766 x1  1 B 1.38
O: 0.4256 0.0843 0.6957 x1  1 B 1.38
O: 0.4326 0.5780 0.1964 x1  1 B 1.38
O: 0.5204 0.4878 0.9832 x1  1 B 1.40
O: 0.5232 0.9801 0.4831 x1  1 B 1.40
O: 0.5511 0.7332 0.3782 x1  1 B 1.40
O: 0.5574 0.2418 0.8774 x1  1 B 1.39
O: 0.6353 0.1462 0.1482 x1  1 B 1.39
O: 0.6408 0.6613 0.6424 x1  1 B 1.40
O: 0.6694 0.8946 0.0447 x1  1 B 1.40
O: 0.6701 0.3799 0.5487 x1  1 B 1.41
O: 0.7604 0.8099 0.8250 x1  1 B 1.38
O: 0.7621 0.2993 0.3274 x1  1 B 1.38
O: 0.9304 0.3346 0.9497 x1  1 B 1.38
O: 0.9305 0.8237 0.4473 x1  1 B 1.37